Version one
Below is Mn2CuCl after structural relaxation, with properties calculated at the PBE level.

CIF file:
```
data_Mn2CuCl
_chemical_formula_sum 'Mn2 Cu1 Cl1'
_symmetry_space_group_name_H-M 'P 1'
_symmetry_Int_Tables_number 1
_cell_length_a 3.0447
_cell_length_b 3.1684
_cell_length_c 6.9056
_cell_angle_alpha 90.01
_cell_angle_beta 90.00
_cell_angle_gamma 90.00
loop_
_symmetry_equiv_pos_as_xyz
'x,y,z'
loop_
_atom_site_label
_atom_site_fract_x
_atom_site_fract_y
_atom_site_fract_z
Mn1 0.0000 0.2500 0.9550
Mn2 0.0000 0.2500 0.5450
Cu1 0.5000 0.7500 0.7500
Cl1 0.5000 0.2500 0.2500
```

***

Version two
Below is Mn2CuCl after structural relaxation, with properties calculated at the PBE level.

CIF file:
```
data_Mn2CuCl
_chemical_formula_sum 'Mn2 Cu1 Cl1'
_symmetry_space_group_name_H-M 'P 1'
_symmetry_Int_Tables_number 1
_cell_length_a 5.0811
_cell_length_b 5.0811
_cell_length_c 5.0811
_cell_angle_alpha 144.58
_cell_angle_beta 117.91
_cell_angle_gamma 73.56
loop_
_symmetry_equiv_pos_as_xyz
'x,y,z'
loop_
_atom_site_label
_atom_site_fract_x
_atom_site_fract_y
_atom_site_fract_z
Mn1 0.9928 0.9928 0.0000
Mn2 0.5072 0.5072 0.0000
Cu1 0.2500 0.7500 0.5000
Cl1 0.7500 0.2500 0.5000
```

***

version one is preferred energetically. Next in line: 31.4 kJ/mol of atoms higher.